1.
## RbScGaTe3 (PBE)

Data for a relaxed RbScGaTe3 crystal.

Spin magnetization, μB per cell: 0.000
ρ, kg/m³: 4463
E_tot, eV per atom: -4.1672
ΔE_f (raw), meV per atom: -875

abc: 4.344 9.692 10.818
angles: 107.74 90.00 90.00
Fractional coordinates of all 12 atoms:
1 Rb 0.250 0.200 0.249
2 Rb 0.750 0.800 0.751
3 Sc 0.250 0.653 0.122
4 Sc 0.750 0.347 0.878
5 Ga 0.250 0.070 0.623
6 Ga 0.750 0.930 0.377
7 Te 0.750 0.861 0.115
8 Te 0.250 0.139 0.885
9 Te 0.250 0.776 0.426
10 Te 0.750 0.224 0.574
11 Te 0.750 0.460 0.157
12 Te 0.250 0.540 0.843


2.
## TbGdScRu (PBE)

Data for a relaxed TbGdScRu crystal.

Calculated formation energy, meV per atom: -5
Spin magnetization, μB per cell: 7.085
ρ, kg/m³: 8336
E_tot, eV per atom: -8.5846

abc: 5.069 5.069 5.069
angles: 60.00 60.00 60.00
Fractional coordinates of all 4 atoms:
1 Sc 0.750 0.750 0.750
2 Ru 0.250 0.250 0.250
3 Gd 0.000 0.000 0.000
4 Tb 0.500 0.500 0.500


3.
## BSe2Br (PBE)

Data for a relaxed BSe2Br crystal.

Polymorph energy (0 for the lowest one), eV/atom: 0.141
Spin magnetization, μB per cell: 0.000
ρ, kg/m³: 5084
E_tot, eV per atom: -3.3474
ΔE_f (raw), meV per atom: 482

abc: 7.996 7.996 7.996
angles: 25.14 25.14 25.14
Fractional coordinates of all 4 atoms:
1 B 0.500 0.500 0.500
2 Se 0.886 0.886 0.886
3 Se 0.114 0.114 0.114
4 Br 0.000 0.000 0.000


4.
## Pa2AlV (PBE)

Data for a relaxed Pa2AlV crystal.

Polymorph energy (0 for the lowest one), eV/atom: 0.426
Calculated formation energy, meV per atom: 418
Spin magnetization, μB per cell: 0.001
ρ, kg/m³: 10377
E_tot, eV per atom: -7.5454

abc: 3.003 3.003 11.199
angles: 82.29 82.29 60.00
Fractional coordinates of all 4 atoms:
1 Pa 0.092 0.092 0.723
2 Pa 0.908 0.908 0.277
3 Al 0.000 0.000 0.000
4 V 0.500 0.500 0.500


Q: The highest spin magnetization belongs to which entry?
A: TbGdScRu